# 1
The following is a PBE-GGA calculation of Ca3Mg2Ag6 after structural relaxation, from Alexandria.

Lattice parameters (Å, degrees): 8.760 8.760 8.760 109.47 109.47 109.47
Positions (direct):
Ca  0.000  0.288  0.288
Ca  0.000  0.712  0.712
Ca  0.288  0.000  0.288
Ca  0.288  0.288  0.000
Ca  0.712  0.000  0.712
Ca  0.712  0.712  0.000
Mg  0.000  0.000  0.500
Mg  0.000  0.500  0.000
Mg  0.500  0.000  0.000
Mg  0.500  0.500  0.500
Ag  0.000  0.332  0.668
Ag  0.000  0.668  0.332
Ag  0.332  0.000  0.668
Ag  0.332  0.332  0.664
Ag  0.332  0.664  0.332
Ag  0.332  0.668  0.000
Ag  0.336  0.668  0.668
Ag  0.664  0.332  0.332
Ag  0.668  0.000  0.332
Ag  0.668  0.332  0.000
Ag  0.668  0.336  0.668
Ag  0.668  0.668  0.336

Properties
* volume: 517 Å³ per cell
* formation enthalpy at 0 K: -248 meV per atom
* space-group type: Im-3m
* total DFT energy (no corrections): -0.0970 Ha/atom

# 2
The following is a PBE-GGA calculation of CaMg3Ag2 after structural relaxation, from Alexandria.

Lattice parameters (Å, degrees): 4.839 4.839 13.414 90.00 90.00 120.00
Positions (direct):
Ca  0.000  0.000  0.250
Ca  0.000  0.000  0.750
Mg  0.000  0.000  0.000
Mg  0.000  0.000  0.500
Mg  0.333  0.667  0.090
Mg  0.333  0.667  0.410
Mg  0.667  0.333  0.590
Mg  0.667  0.333  0.910
Ag  0.333  0.667  0.624
Ag  0.333  0.667  0.876
Ag  0.667  0.333  0.124
Ag  0.667  0.333  0.376

Properties
* volume: 272 Å³ per cell
* formation enthalpy at 0 K: -200 meV per atom
* space-group type: P6_3/mmc
* total DFT energy (no corrections): -0.0838 Ha/atom

# 3
The following is a PBE-GGA calculation of CaMg2Ag9 after structural relaxation, from Alexandria.

Lattice parameters (Å, degrees): 8.867 8.867 8.867 99.98 99.98 130.80
Positions (direct):
Ca  0.375  0.625  0.750
Ca  0.625  0.375  0.250
Mg  0.000  0.000  0.000
Mg  0.000  0.000  0.500
Mg  0.000  0.500  0.000
Mg  0.500  0.000  0.500
Ag  0.125  0.875  0.250
Ag  0.131  0.557  0.332
Ag  0.131  0.800  0.575
Ag  0.200  0.275  0.332
Ag  0.200  0.869  0.925
Ag  0.275  0.200  0.832
Ag  0.275  0.443  0.075
Ag  0.443  0.275  0.575
Ag  0.443  0.869  0.168
Ag  0.557  0.131  0.832
Ag  0.557  0.725  0.425
Ag  0.725  0.557  0.925
Ag  0.725  0.800  0.168
Ag  0.800  0.131  0.075
Ag  0.800  0.725  0.668
Ag  0.869  0.200  0.425
Ag  0.869  0.443  0.668
Ag  0.875  0.125  0.750

Properties
* volume: 480 Å³ per cell
* E above lowest polymorph: 0.0000 eV/atom
* formation enthalpy at 0 K: -132 meV per atom
* space-group type: I4_1/amd
* total DFT energy (no corrections): -0.0993 Ha/atom

# 4
The following is a PBE-GGA calculation of CaMg2Ag3 after structural relaxation, from Alexandria.

Lattice parameters (Å, degrees): 6.958 6.958 5.773 90.00 90.00 86.98
Positions (direct):
Ca  0.225  0.775  0.750
Ca  0.775  0.225  0.250
Mg  0.261  0.261  0.000
Mg  0.261  0.261  0.500
Mg  0.739  0.739  0.000
Mg  0.739  0.739  0.500
Ag  0.049  0.576  0.250
Ag  0.424  0.951  0.250
Ag  0.451  0.549  0.250
Ag  0.549  0.451  0.750
Ag  0.576  0.049  0.750
Ag  0.951  0.424  0.750

Properties
* volume: 279 Å³ per cell
* E above lowest polymorph: 0.0781 eV/atom
* formation enthalpy at 0 K: -168 meV per atom
* space-group type: Cmcm
* total DFT energy (no corrections): -0.0904 Ha/atom

# 5
The following is a PBE-GGA calculation of Ca2Mg2Ag after structural relaxation, from Alexandria.

Lattice parameters (Å, degrees): 3.996 3.996 18.816 90.00 90.00 90.00
Positions (direct):
Ca  0.000  0.000  0.093
Ca  0.000  0.000  0.907
Ca  0.500  0.500  0.407
Ca  0.500  0.500  0.593
Mg  0.000  0.500  0.250
Mg  0.000  0.500  0.750
Mg  0.500  0.000  0.250
Mg  0.500  0.000  0.750
Ag  0.000  0.000  0.500
Ag  0.500  0.500  0.000

Properties
* volume: 300 Å³ per cell
* E above lowest polymorph: 0.0914 eV/atom
* formation enthalpy at 0 K: 22 meV per atom
* space-group type: I4/mmm
* total DFT energy (no corrections): -0.0730 Ha/atom

# 6
The following is a PBE-GGA calculation of Ca8Mg2Ag after structural relaxation, from Alexandria.

Lattice parameters (Å, degrees): 10.084 10.084 7.465 107.35 107.35 32.45
Positions (direct):
Ca  0.019  0.019  0.280
Ca  0.204  0.204  0.789
Ca  0.347  0.347  0.542
Ca  0.404  0.404  0.064
Ca  0.596  0.596  0.936
Ca  0.653  0.653  0.458
Ca  0.796  0.796  0.211
Ca  0.981  0.981  0.720
Mg  0.182  0.182  0.216
Mg  0.818  0.818  0.784
Ag  0.500  0.500  0.500

Properties
* volume: 387 Å³ per cell
* formation enthalpy at 0 K: -60 meV per atom
* space-group type: C2/m
* total DFT energy (no corrections): -0.0759 Ha/atom

# 7
The following is a PBE-GGA calculation of CaMgAg2 after structural relaxation, from Alexandria.

Lattice parameters (Å, degrees): 4.933 4.933 3.667 90.00 90.00 90.00
Positions (direct):
Ca  0.000  0.000  0.000
Mg  0.500  0.500  0.000
Ag  0.000  0.500  0.500
Ag  0.500  0.000  0.500

Properties
* volume: 89 Å³ per cell
* formation enthalpy at 0 K: -213 meV per atom
* space-group type: P4/mmm
* total DFT energy (no corrections): -0.0932 Ha/atom

# 8
The following is a PBE-GGA calculation of CaMgAg2 after structural relaxation, from Alexandria.

Lattice parameters (Å, degrees): 3.215 5.365 11.355 90.00 90.00 90.00
Positions (direct):
Ca  0.000  0.000  0.000
Ca  0.500  0.500  0.500
Mg  0.000  0.000  0.500
Mg  0.500  0.500  0.000
Ag  0.000  0.000  0.266
Ag  0.000  0.000  0.734
Ag  0.500  0.500  0.234
Ag  0.500  0.500  0.766

Properties
* volume: 196 Å³ per cell
* formation enthalpy at 0 K: 248 meV per atom
* space-group type: Immm
* total DFT energy (no corrections): -0.0763 Ha/atom

# 9
The following is a PBE-GGA calculation of Ca2MgAg after structural relaxation, from Alexandria.

Lattice parameters (Å, degrees): 4.672 4.672 10.330 90.00 90.00 90.00
Positions (direct):
Ca  0.000  0.000  0.000
Ca  0.000  0.500  0.250
Ca  0.500  0.000  0.750
Ca  0.500  0.500  0.500
Mg  0.000  0.500  0.750
Mg  0.500  0.000  0.250
Ag  0.000  0.000  0.500
Ag  0.500  0.500  0.000

Properties
* volume: 225 Å³ per cell
* formation enthalpy at 0 K: -70 meV per atom
* space-group type: I-4m2
* total DFT energy (no corrections): -0.0802 Ha/atom

# 10
The following is a PBE-GGA calculation of CaMg3Ag after structural relaxation, from Alexandria.

Lattice parameters (Å, degrees): 6.089 6.089 6.089 90.00 90.00 90.00
Positions (direct):
Ca  0.000  0.000  0.000
Mg  0.000  0.000  0.500
Mg  0.000  0.500  0.000
Mg  0.500  0.000  0.000
Ag  0.500  0.500  0.500

Properties
* volume: 226 Å³ per cell
* E above lowest polymorph: 1.1813 eV/atom
* formation enthalpy at 0 K: 1010 meV per atom
* space-group type: Pm-3m
* total DFT energy (no corrections): -0.0337 Ha/atom

# 11
The following is a PBE-GGA calculation of CaMg6Ag12 after structural relaxation, from Alexandria.

Lattice parameters (Å, degrees): 7.689 7.689 7.689 105.05 105.05 105.05
Positions (direct):
Ca  0.000  0.000  0.000
Mg  0.288  0.288  0.703
Mg  0.288  0.703  0.288
Mg  0.297  0.712  0.712
Mg  0.703  0.288  0.288
Mg  0.712  0.297  0.712
Mg  0.712  0.712  0.297
Ag  0.113  0.500  0.887
Ag  0.113  0.887  0.500
Ag  0.123  0.367  0.367
Ag  0.367  0.123  0.367
Ag  0.367  0.367  0.123
Ag  0.500  0.113  0.887
Ag  0.500  0.887  0.113
Ag  0.633  0.633  0.877
Ag  0.633  0.877  0.633
Ag  0.877  0.633  0.633
Ag  0.887  0.113  0.500
Ag  0.887  0.500  0.113

Properties
* volume: 397 Å³ per cell
* formation enthalpy at 0 K: -37 meV per atom
* space-group type: R-3m
* total DFT energy (no corrections): -0.0899 Ha/atom

# 12
The following is a PBE-GGA calculation of Ca3Mg2Ag3 after structural relaxation, from Alexandria.

Lattice parameters (Å, degrees): 8.814 8.814 6.026 90.00 90.00 120.00
Positions (direct):
Ca  0.000  0.262  0.250
Ca  0.000  0.738  0.750
Ca  0.262  0.000  0.250
Ca  0.262  0.262  0.750
Ca  0.738  0.000  0.750
Ca  0.738  0.738  0.250
Mg  0.333  0.667  0.000
Mg  0.333  0.667  0.500
Mg  0.667  0.333  0.000
Mg  0.667  0.333  0.500
Ag  0.000  0.403  0.750
Ag  0.000  0.597  0.250
Ag  0.403  0.000  0.750
Ag  0.403  0.403  0.250
Ag  0.597  0.000  0.250
Ag  0.597  0.597  0.750

Properties
* volume: 405 Å³ per cell
* formation enthalpy at 0 K: -271 meV per atom
* space-group type: P6_3/mcm
* total DFT energy (no corrections): -0.0915 Ha/atom

Copy entry 8 word for word.
The following is a PBE-GGA calculation of CaMgAg2 after structural relaxation, from Alexandria.

Lattice parameters (Å, degrees): 3.215 5.365 11.355 90.00 90.00 90.00
Positions (direct):
Ca  0.000  0.000  0.000
Ca  0.500  0.500  0.500
Mg  0.000  0.000  0.500
Mg  0.500  0.500  0.000
Ag  0.000  0.000  0.266
Ag  0.000  0.000  0.734
Ag  0.500  0.500  0.234
Ag  0.500  0.500  0.766

Properties
* volume: 196 Å³ per cell
* formation enthalpy at 0 K: 248 meV per atom
* space-group type: Immm
* total DFT energy (no corrections): -0.0763 Ha/atom

What is the formula in the eighth record?
CaMgAg2

The highest total DFT energy (no corrections) belongs to which entry?
CaMg3Ag

Copy entry 7 word for word.
The following is a PBE-GGA calculation of CaMgAg2 after structural relaxation, from Alexandria.

Lattice parameters (Å, degrees): 4.933 4.933 3.667 90.00 90.00 90.00
Positions (direct):
Ca  0.000  0.000  0.000
Mg  0.500  0.500  0.000
Ag  0.000  0.500  0.500
Ag  0.500  0.000  0.500

Properties
* volume: 89 Å³ per cell
* formation enthalpy at 0 K: -213 meV per atom
* space-group type: P4/mmm
* total DFT energy (no corrections): -0.0932 Ha/atom